Entry 1:
VASP calculation (PBE-GGA) on a relaxed CeUTe3 crystal. Values from VASP.

```
&SYSTEM
  ibrav = 0, nat = 10, ntyp = 3
/
ATOMIC_SPECIES
Te 127.60 Te.upf
U 238.03 U.upf
Ce 140.12 Ce.upf
CELL_PARAMETERS angstrom
5.827 0.000 0.000
0.000 8.385 -0.171
0.000 -4.338 7.177
ATOMIC_POSITIONS crystal
Te 0.750 0.616 0.801
Te 0.750 0.199 0.384
Te 0.750 0.182 0.818
Te 0.250 0.801 0.616
Te 0.250 0.384 0.199
Te 0.250 0.818 0.182
U 0.500 0.000 0.000
U 0.000 0.000 0.000
Ce 0.750 0.595 0.405
Ce 0.250 0.405 0.595
```

- ΔE_f (raw): -0.724 eV per atom
- Polymorph energy (0 for the lowest one): 173.6 meV per atom
- V: 34.64 Å³/atom
- E_tot: -6.054 eV/atom

Entry 2:
VASP calculation (PBE-GGA) on a relaxed CaCuRu2 crystal. Values from VASP.

```
&SYSTEM
  ibrav = 0, nat = 4, ntyp = 3
/
ATOMIC_SPECIES
Ru 101.07 Ru.upf
Ca 40.08 Ca.upf
Cu 63.55 Cu.upf
CELL_PARAMETERS angstrom
-2.282 -1.860 1.302
0.114 -1.937 -2.569
4.671 -3.656 2.965
ATOMIC_POSITIONS crystal
Ru 0.000 0.000 0.565
Ru 0.000 0.000 0.935
Ca 0.500 0.500 0.250
Cu 0.500 0.500 0.750
```

- Polymorph energy (0 for the lowest one): 252.0 meV per atom
- V: 17.18 Å³/atom
- Energy relative to the elements: 0.485 eV per atom
- E_tot: -5.677 eV/atom

Entry 3:
VASP calculation (PBE-GGA) on a relaxed Ho2InHg crystal. Values from VASP.

```
&SYSTEM
  ibrav = 0, nat = 4, ntyp = 3
/
ATOMIC_SPECIES
In 114.82 In.upf
Ho 164.93 Ho.upf
Hg 200.59 Hg.upf
CELL_PARAMETERS angstrom
5.279 0.000 0.000
2.640 4.572 0.000
2.640 1.524 4.311
ATOMIC_POSITIONS crystal
In 0.750 0.750 0.750
Ho 0.500 0.500 0.500
Ho 0.000 0.000 0.000
Hg 0.250 0.250 0.250
```

- V: 26.01 Å³/atom
- Energy relative to the elements: -0.459 eV per atom
- E_tot: -3.508 eV/atom

Entry 4:
VASP calculation (PBE-GGA) on a relaxed LiAl2Pd3 crystal. Values from VASP.

```
&SYSTEM
  ibrav = 0, nat = 6, ntyp = 3
/
ATOMIC_SPECIES
Pd 106.42 Pd.upf
Al 26.98 Al.upf
Li 6.94 Li.upf
CELL_PARAMETERS angstrom
3.002 0.000 0.000
0.000 3.002 0.000
0.000 0.000 9.461
ATOMIC_POSITIONS crystal
Pd 0.000 0.000 0.000
Pd 0.000 0.000 0.671
Pd 0.000 0.000 0.329
Al 0.500 0.500 0.827
Al 0.500 0.500 0.173
Li 0.500 0.500 0.500
```

- Polymorph energy (0 for the lowest one): 22.4 meV per atom
- V: 14.21 Å³/atom
- Energy relative to the elements: -0.800 eV per atom
- E_tot: -4.962 eV/atom

Entry 5:
VASP calculation (PBE-GGA) on a relaxed CdAs5 crystal. Values from VASP.

```
&SYSTEM
  ibrav = 0, nat = 6, ntyp = 2
/
ATOMIC_SPECIES
As 74.92 As.upf
Cd 112.41 Cd.upf
CELL_PARAMETERS angstrom
-2.367 -2.467 -0.455
2.391 -2.408 0.616
-2.304 0.326 10.221
ATOMIC_POSITIONS crystal
As 0.500 0.500 0.676
As 0.000 0.000 0.209
As 0.000 0.000 0.791
As 0.500 0.500 0.324
As 0.000 0.000 0.500
Cd 0.500 0.500 0.000
```

- Polymorph energy (0 for the lowest one): 240.6 meV per atom
- V: 20.79 Å³/atom
- Energy relative to the elements: 0.335 eV per atom
- E_tot: -3.692 eV/atom

Entry 6:
VASP calculation (PBE-GGA) on a relaxed Th3PdRu2 crystal. Values from VASP.

```
&SYSTEM
  ibrav = 0, nat = 12, ntyp = 3
/
ATOMIC_SPECIES
Pd 106.42 Pd.upf
Ru 101.07 Ru.upf
Th 232.04 Th.upf
CELL_PARAMETERS angstrom
-4.911 -3.041 -0.504
5.204 -2.155 -4.361
1.426 -3.505 7.265
ATOMIC_POSITIONS crystal
Pd 0.999 0.000 0.750
Pd 0.001 0.000 0.250
Ru 0.339 0.679 0.920
Ru 0.340 0.679 0.420
Ru 0.660 0.321 0.580
Ru 0.661 0.321 0.080
Th 0.501 0.000 0.250
Th 0.499 0.000 0.750
Th 0.178 0.357 0.589
Th 0.179 0.357 0.089
Th 0.822 0.643 0.411
Th 0.821 0.643 0.911
```

- V: 24.46 Å³/atom
- Energy relative to the elements: -0.562 eV per atom
- E_tot: -8.229 eV/atom

Entry 7:
VASP calculation (PBE-GGA) on a relaxed TbZr3H crystal. Values from VASP.

```
&SYSTEM
  ibrav = 0, nat = 5, ntyp = 3
/
ATOMIC_SPECIES
Zr 91.22 Zr.upf
H 1.01 H.upf
Tb 158.93 Tb.upf
CELL_PARAMETERS angstrom
4.640 0.000 0.000
0.000 4.640 0.000
0.000 0.000 4.640
ATOMIC_POSITIONS crystal
Zr 0.000 0.000 0.500
Zr 0.500 0.000 0.000
Zr 0.000 0.500 0.000
H 0.000 0.000 0.000
Tb 0.500 0.500 0.500
```

- V: 19.99 Å³/atom
- E_tot: -6.762 eV/atom

Entry 8:
VASP calculation (PBE-GGA) on a relaxed AcNi4Ge2 crystal. Values from VASP.

```
&SYSTEM
  ibrav = 0, nat = 14, ntyp = 3
/
ATOMIC_SPECIES
Ac 227.00 Ac.upf
Ni 58.69 Ni.upf
Ge 72.64 Ge.upf
CELL_PARAMETERS angstrom
3.773 0.000 0.000
0.000 7.668 0.000
0.000 0.000 7.668
ATOMIC_POSITIONS crystal
Ac 0.500 0.000 0.000
Ac 0.000 0.500 0.500
Ni 0.500 0.416 0.851
Ni 0.000 0.916 0.649
Ni 0.500 0.851 0.416
Ni 0.000 0.649 0.916
Ni 0.000 0.084 0.351
Ni 0.000 0.351 0.084
Ni 0.500 0.584 0.149
Ni 0.500 0.149 0.584
Ge 0.000 0.224 0.776
Ge 0.000 0.776 0.224
Ge 0.500 0.724 0.724
Ge 0.500 0.276 0.276
```

- Polymorph energy (0 for the lowest one): 0.0 meV per atom
- V: 15.85 Å³/atom
- Energy relative to the elements: -0.355 eV per atom
- E_tot: -5.565 eV/atom

Entry 9:
VASP calculation (PBE-GGA) on a relaxed Ac3PrTl crystal. Values from VASP.

```
&SYSTEM
  ibrav = 0, nat = 10, ntyp = 3
/
ATOMIC_SPECIES
Ac 227.00 Ac.upf
Pr 140.91 Pr.upf
Tl 204.38 Tl.upf
CELL_PARAMETERS angstrom
3.895 -0.801 0.000
-4.156 9.575 0.000
0.000 0.000 12.388
ATOMIC_POSITIONS crystal
Ac 0.085 0.720 0.485
Ac 0.915 0.280 0.515
Ac 0.085 0.720 0.015
Ac 0.915 0.280 0.985
Ac 0.391 0.595 0.750
Ac 0.609 0.405 0.250
Pr 0.438 0.964 0.750
Pr 0.562 0.036 0.250
Tl 0.391 0.264 0.750
Tl 0.609 0.736 0.250
```

- Polymorph energy (0 for the lowest one): 102.4 meV per atom
- V: 42.07 Å³/atom
- Energy relative to the elements: 0.020 eV per atom
- E_tot: -3.875 eV/atom

Entry 10:
VASP calculation (PBE-GGA) on a relaxed NiTe2IN crystal. Values from VASP.

```
&SYSTEM
  ibrav = 0, nat = 5, ntyp = 4
/
ATOMIC_SPECIES
I 126.90 I.upf
Te 127.60 Te.upf
Ni 58.69 Ni.upf
N 14.01 N.upf
CELL_PARAMETERS angstrom
-2.553 4.532 2.841
-3.568 0.902 -4.645
-2.599 -2.421 1.526
ATOMIC_POSITIONS crystal
I 0.000 0.000 0.000
Te 0.500 0.000 0.000
Te 0.000 0.500 0.000
Ni 0.500 0.500 0.500
N 0.000 0.000 0.500
```

- ΔE_f (raw): 1.620 eV per atom
- Polymorph energy (0 for the lowest one): 1035.8 meV per atom
- V: 27.16 Å³/atom
- E_tot: -2.768 eV/atom

Entry 11:
VASP calculation (PBE-GGA) on a relaxed Nd2CuRe crystal. Values from VASP.

```
&SYSTEM
  ibrav = 0, nat = 4, ntyp = 3
/
ATOMIC_SPECIES
Cu 63.55 Cu.upf
Re 186.21 Re.upf
Nd 144.24 Nd.upf
CELL_PARAMETERS angstrom
-2.387 -2.176 1.484
0.824 -1.789 2.959
-3.557 5.324 6.343
ATOMIC_POSITIONS crystal
Cu 0.500 0.500 0.500
Re 0.000 0.000 0.000
Nd 0.253 0.253 0.242
Nd 0.747 0.747 0.758
```

- V: 24.00 Å³/atom
- Energy relative to the elements: 0.479 eV per atom
- E_tot: -6.041 eV/atom

Entry 12:
VASP calculation (PBE-GGA) on a relaxed SmHfCoIr crystal. Values from VASP.

```
&SYSTEM
  ibrav = 0, nat = 4, ntyp = 4
/
ATOMIC_SPECIES
Ir 192.22 Ir.upf
Co 58.93 Co.upf
Hf 178.49 Hf.upf
Sm 150.36 Sm.upf
CELL_PARAMETERS angstrom
4.738 0.000 0.000
2.369 4.103 0.000
2.369 1.368 3.869
ATOMIC_POSITIONS crystal
Ir 0.000 0.000 0.000
Co 0.500 0.500 0.500
Hf 0.250 0.250 0.250
Sm 0.750 0.750 0.750
```

- V: 18.80 Å³/atom
- Energy relative to the elements: -0.404 eV per atom
- E_tot: -8.064 eV/atom